ScFeAs2 | GGA-PBE | optimized geometry

```
ScFeAs2
1.0
-1.469 2.156 1.397
-1.493 -2.024 1.560
5.830 0.194 5.832
Fe Sc As
1 1 2
direct
0.000 0.000 0.488
0.500 0.500 0.710
0.000 0.000 0.960
0.500 0.500 0.341
```

Calculated values
crystal system: tetragonal
space-group type: P4mm, No. 99
formation energy: -271.7 meV/atom
raw total energy: -6.2950 eV/atom
Fermi-level density of states: 2.8 states/eV/f.u.


Th4GeSe4 | GGA-PBE | optimized geometry

```
Th4GeSe4
1.0
4.135 0.000 0.977
1.767 6.812 1.762
-0.045 -0.077 9.429
Th Se Ge
4 4 1
direct
0.098 0.708 0.096
0.299 0.108 0.293
0.701 0.892 0.707
0.902 0.292 0.904
0.312 0.589 0.788
0.106 0.187 0.602
0.688 0.411 0.212
0.894 0.813 0.398
0.500 0.000 0.000
```

Calculated values
raw formation energy: -13.34 eV per formula unit
crystal system: monoclinic
space-group type: C2/m, No. 12
raw total energy: -6.8422 eV/atom
Fermi-level density of states: 5.2 states/eV/f.u.


CoNiTeN2 | GGA-PBE | optimized geometry

```
CoNiTeN2
1.0
-2.440 -1.120 2.431
1.479 -3.306 -0.040
3.532 1.529 4.248
N Te Co Ni
2 1 1 1
direct
0.500 0.000 0.000
0.000 0.500 0.000
0.000 0.000 0.500
0.500 0.500 0.500
0.000 0.000 0.000
```

Calculated values
raw formation energy: 6.76 eV per formula unit
crystal system: tetragonal
space-group type: P4/mmm, No. 123
raw total energy: -5.1831 eV/atom
Fermi-level density of states: 5.1 states/eV/f.u.


SrMg2ScCu | GGA-PBE | optimized geometry

```
SrMg2ScCu
1.0
5.147 0.000 0.000
0.000 5.147 0.000
0.000 0.000 5.068
Sc Sr Mg Cu
1 1 2 1
direct
0.000 0.000 0.500
0.500 0.500 0.500
0.000 0.500 0.000
0.500 0.000 0.000
0.000 0.000 0.000
```

Calculated values
crystal system: tetragonal
space-group type: P4/mmm, No. 123
formation energy: 67.0 meV/atom
raw total energy: -2.9927 eV/atom
Fermi-level density of states: 4.2 states/eV/f.u.


HoThMnIn | GGA-PBE | optimized geometry

```
HoThMnIn
1.0
-1.604 -3.217 -3.840
2.344 -4.660 -0.678
-2.569 -4.434 1.186
Th Ho In Mn
1 1 1 1
direct
0.750 0.750 0.750
0.250 0.250 0.250
0.500 0.500 0.500
0.000 0.000 0.000
```

Calculated values
crystal system: cubic
space-group type: F-43m, No. 216
formation energy: 15.3 meV/atom
raw total energy: -5.9611 eV/atom
Fermi-level density of states: 3.8 states/eV/f.u.


PdPbS | GGA-PBE | optimized geometry

```
PdPbS
1.0
4.044 0.000 0.000
0.000 4.251 0.000
0.000 -2.126 3.681
Pb Pd S
1 1 1
direct
0.667 0.667 0.333
0.166 0.000 0.000
0.167 0.333 0.667
```

Calculated values
raw formation energy: -1.04 eV per formula unit
crystal system: trigonal
space-group type: P3m1, No. 156
raw total energy: -4.6884 eV/atom
Fermi-level density of states: 0.7 states/eV/f.u.


KBPt3 | GGA-PBE | optimized geometry

```
KBPt3
1.0
-8.821 11.720 2.647
-3.138 5.142 -5.087
-0.605 -5.553 -5.564
Pt B K
12 4 4
direct
0.529 0.634 0.567
0.211 0.704 0.752
0.883 0.791 0.827
0.029 0.933 0.866
0.383 0.673 0.709
0.117 0.209 0.173
0.711 0.748 0.796
0.471 0.366 0.433
0.971 0.067 0.134
0.789 0.296 0.248
0.289 0.252 0.204
0.617 0.327 0.291
0.750 0.200 0.700
0.250 0.506 0.006
0.750 0.494 0.994
0.250 0.800 0.300
0.668 0.714 0.374
0.832 0.874 0.214
0.168 0.126 0.786
0.332 0.286 0.626
```

Calculated values
crystal system: monoclinic
space-group type: C2/c, No. 15
formation energy: -216.8 meV/atom
raw total energy: -5.3962 eV/atom
Fermi-level density of states: 1.1 states/eV/f.u.